Entry 1:
# NaCa2InBr8, relaxed, DFT PBE
data_NaCa2InBr8
_chemical_formula_sum 'Na1 Ca2 In1 Br8'
_cell_length_a 6.582
_cell_length_b 8.667
_cell_length_c 6.898
_cell_angle_alpha 90.00
_cell_angle_beta 90.23
_cell_angle_gamma 90.00
_symmetry_space_group_name_H-M 'P 1 2/m 1'
_symmetry_Int_Tables_number 10
loop_
_symmetry_equiv_pos_as_xyz
'x,y,z'
'-x,-y,-z'
'-x,y,-z'
'x,-y,z'
loop_
_atom_site_label
_atom_site_type_symbol
_atom_site_fract_x
_atom_site_fract_y
_atom_site_fract_z
_atom_site_occupancy
Na1 Na 0.000 0.000 0.000 1
Ca1 Ca 0.500 0.249 0.500 1
In1 In 0.000 0.500 0.000 1
Br1 Br 0.229 0.273 0.154 1
Br2 Br 0.252 0.500 0.667 1
Br3 Br 0.274 0.000 0.664 1
# Volume = 393 Å³/cell
# Formation energy (no corrections) = -1.508 eV/atom
# DFT total energy = -39.54 eV/f.u.

Entry 2:
# K2Cd4PtAu3, relaxed, DFT PBE
data_K2Cd4PtAu3
_chemical_formula_sum 'K2 Cd4 Pt1 Au3'
_cell_length_a 4.837
_cell_length_b 4.837
_cell_length_c 11.234
_cell_angle_alpha 90.00
_cell_angle_beta 90.00
_cell_angle_gamma 90.00
_symmetry_space_group_name_H-M 'P -4 m 2'
_symmetry_Int_Tables_number 115
loop_
_symmetry_equiv_pos_as_xyz
'x,y,z'
'y,-x,-z'
'-x,-y,z'
'-y,x,-z'
'-x,y,z'
'-y,-x,-z'
'x,-y,z'
'y,x,-z'
loop_
_atom_site_label
_atom_site_type_symbol
_atom_site_fract_x
_atom_site_fract_y
_atom_site_fract_z
_atom_site_occupancy
K1 K 0.000 0.500 0.234 1
Cd1 Cd 0.000 0.000 0.500 1
Cd2 Cd 0.000 0.500 0.881 1
Cd3 Cd 0.500 0.500 0.500 1
Pt1 Pt 0.500 0.500 0.000 1
Au1 Au 0.000 0.000 0.000 1
Au2 Au 0.000 0.500 0.635 1
# Volume = 263 Å³/cell
# DFT total energy = -23.79 eV/f.u.
# DFT formation energy = -0.206 eV per atom

Entry 3:
# PmNd2Ag3, relaxed, DFT PBE
data_PmNd2Ag3
_chemical_formula_sum 'Pm1 Nd2 Ag3'
_cell_length_a 3.734
_cell_length_b 3.734
_cell_length_c 11.327
_cell_angle_alpha 90.00
_cell_angle_beta 90.00
_cell_angle_gamma 90.00
_symmetry_space_group_name_H-M 'P 4/m m m'
_symmetry_Int_Tables_number 123
_symmetry_space_group_name_Hall '-P 4 2'
loop_
_atom_site_label
_atom_site_type_symbol
_atom_site_fract_x
_atom_site_fract_y
_atom_site_fract_z
_atom_site_occupancy
Pm1 Pm 0.000 0.000 0.000 1
Nd1 Nd 0.000 0.000 0.333 1
Ag1 Ag 0.500 0.500 0.164 1
Ag2 Ag 0.500 0.500 0.500 1
# Volume = 158 Å³/cell
# DFT total energy = -24.42 eV/f.u.
# DFT formation energy = -0.263 eV per atom

Entry 4:
# Zr6FeSb2, relaxed, DFT PBE
data_Zr6FeSb2
_chemical_formula_sum 'Zr6 Fe1 Sb2'
_cell_length_a 7.8374
_cell_length_b 7.8374
_cell_length_c 3.6241
_cell_angle_alpha 90.00
_cell_angle_beta 90.00
_cell_angle_gamma 120.00
_symmetry_space_group_name_H-M 'P -6 2 m'
_symmetry_Int_Tables_number 189
_symmetry_space_group_name_Hall 'P -6 -2'
loop_
_atom_site_label
_atom_site_type_symbol
_atom_site_fract_x
_atom_site_fract_y
_atom_site_fract_z
_atom_site_occupancy
Zr1 Zr 0.0000 0.4005 0.0000 1
Zr2 Zr 0.0000 0.7599 0.5000 1
Fe1 Fe 0.0000 0.0000 0.0000 1
Sb1 Sb 0.3333 0.6667 0.5000 1
# Volume = 193 Å³/cell
# Formation energy (no corrections) = -0.522 eV/atom
# DFT total energy = -72.69 eV/f.u.

Entry 5:
# Hf2AlP, relaxed, DFT PBE
data_Hf2AlP
_chemical_formula_sum 'Hf6 Al3 P3'
_cell_length_a 3.4898
_cell_length_b 3.4898
_cell_length_c 22.2617
_cell_angle_alpha 90.00
_cell_angle_beta 90.00
_cell_angle_gamma 120.00
_symmetry_space_group_name_H-M 'R 3 m'
_symmetry_Int_Tables_number 160
_symmetry_space_group_name_Hall 'R 3 -2"'
loop_
_atom_site_label
_atom_site_type_symbol
_atom_site_fract_x
_atom_site_fract_y
_atom_site_fract_z
_atom_site_occupancy
Hf1 Hf 0.0000 0.0000 0.0000 1
Hf2 Hf 0.0000 0.0000 0.1962 1
Al1 Al 0.0000 0.0000 0.7655 1
P1 P 0.0000 0.0000 0.5977 1
# Volume = 235 Å³/cell
# DFT total energy = -31.90 eV/f.u.
# DFT formation energy = -0.710 eV per atom

Entry 6:
# Rb2CoAu2, relaxed, DFT PBE
data_Rb2CoAu2
_chemical_formula_sum 'Rb4 Co2 Au4'
_cell_length_a 6.904
_cell_length_b 6.904
_cell_length_c 5.679
_cell_angle_alpha 90.00
_cell_angle_beta 90.00
_cell_angle_gamma 90.00
_symmetry_space_group_name_H-M 'P 4/m b m'
_symmetry_Int_Tables_number 127
_symmetry_space_group_name_Hall '-P 4 2ab'
loop_
_atom_site_label
_atom_site_type_symbol
_atom_site_fract_x
_atom_site_fract_y
_atom_site_fract_z
_atom_site_occupancy
Rb1 Rb 0.175 0.325 0.000 1
Co1 Co 0.000 0.000 0.500 1
Au1 Au 0.150 0.650 0.500 1
# Volume = 271 Å³/cell
# DFT total energy = -14.27 eV/f.u.
# DFT formation energy = 0.265 eV per atom

Entry 7:
# EuGd3, relaxed, DFT PBE
data_EuGd3
_chemical_formula_sum 'Eu1 Gd3'
_cell_length_a 5.144
_cell_length_b 5.144
_cell_length_c 5.144
_cell_angle_alpha 90.00
_cell_angle_beta 90.00
_cell_angle_gamma 90.00
_symmetry_space_group_name_H-M 'P m -3 m'
_symmetry_Int_Tables_number 221
_symmetry_space_group_name_Hall '-P 4 2 3'
loop_
_atom_site_label
_atom_site_type_symbol
_atom_site_fract_x
_atom_site_fract_y
_atom_site_fract_z
_atom_site_occupancy
Eu1 Eu 0.000 0.000 0.000 1
Gd1 Gd 0.000 0.500 0.500 1
# Volume = 136 Å³/cell
# DFT total energy = -52.16 eV/f.u.
# DFT formation energy = 0.089 eV per atom

Entry 8:
# K2PdBr, relaxed, DFT PBE
data_K2PdBr
_chemical_formula_sum 'K8 Pd4 Br4'
_cell_length_a 8.484
_cell_length_b 8.484
_cell_length_c 8.518
_cell_angle_alpha 90.00
_cell_angle_beta 90.00
_cell_angle_gamma 90.00
_symmetry_space_group_name_H-M 'I -4 2 d'
_symmetry_Int_Tables_number 122
_symmetry_space_group_name_Hall 'I -4 2bw'
loop_
_atom_site_label
_atom_site_type_symbol
_atom_site_fract_x
_atom_site_fract_y
_atom_site_fract_z
_atom_site_occupancy
K1 K 0.249 0.250 0.125 1
Pd1 Pd 0.000 0.000 0.500 1
Br1 Br 0.000 0.000 0.000 1
# Volume = 613 Å³/cell
# Formation energy (no corrections) = -0.415 eV/atom
# DFT total energy = -10.72 eV/f.u.

Entry 9:
# NdY6Ho12, relaxed, DFT PBE
data_NdY6Ho12
_chemical_formula_sum 'Nd3 Y18 Ho36'
_cell_length_a 11.9162
_cell_length_b 11.9162
_cell_length_c 15.0945
_cell_angle_alpha 90.00
_cell_angle_beta 90.00
_cell_angle_gamma 120.00
_symmetry_space_group_name_H-M 'R -3'
_symmetry_Int_Tables_number 148
_symmetry_space_group_name_Hall '-R 3'
loop_
_atom_site_label
_atom_site_type_symbol
_atom_site_fract_x
_atom_site_fract_y
_atom_site_fract_z
_atom_site_occupancy
Nd1 Nd 0.0000 0.0000 0.0000 1
Y1 Y 0.0071 0.5865 0.6774 1
Ho1 Ho 0.0231 0.1832 0.1925 1
Ho2 Ho 0.0392 0.1875 0.4161 1
# Volume = 1856 Å³/cell
# DFT total energy = -95.43 eV/f.u.
# DFT formation energy = 0.161 eV per atom

Entry 10:
# U3TlAg4S12, relaxed, DFT PBE
data_U3TlAg4S12
_chemical_formula_sum 'U9 Tl3 Ag12 S36'
_cell_length_a 14.2710
_cell_length_b 14.2710
_cell_length_c 9.5497
_cell_angle_alpha 90.00
_cell_angle_beta 90.00
_cell_angle_gamma 120.00
_symmetry_space_group_name_H-M 'R 3 2'
_symmetry_Int_Tables_number 155
_symmetry_space_group_name_Hall 'R 3 2"'
loop_
_atom_site_label
_atom_site_type_symbol
_atom_site_fract_x
_atom_site_fract_y
_atom_site_fract_z
_atom_site_occupancy
U1 U 0.0000 0.5639 0.0000 1
Tl1 Tl 0.0000 0.0000 0.0000 1
Ag1 Ag 0.0000 0.0000 0.5000 1
Ag2 Ag 0.0000 0.4263 0.5000 1
S1 S 0.0000 0.6027 0.5000 1
S2 S 0.0000 0.8310 0.5000 1
S3 S 0.0703 0.2268 0.1834 1
# Volume = 1684 Å³/cell
# Formation energy (no corrections) = -0.603 eV/atom
# DFT total energy = -109.23 eV/f.u.